A plane-wave DFT calculation with GGA-PBE was carried out for an optimized crystal structure of Sr2CaBe.

Output
DFT formation energy: 0.3455 eV per atom
Total magnetic moment: 0.00 μB per cell

Unit cell a=9.038 b=9.038 c=9.038 alpha=155.80 beta=149.20 gamma=39.55
Positions (direct):
Sr 0.160 0.160 0.000
Sr 0.840 0.840 0.000
Ca 0.500 0.000 0.500
Be 0.000 0.500 0.500